Compound: LiAcPuSe3
Source: Alexandria via LeMat-Bulk
Functional: GGA-PBE
Structure: optimized geometry

Summary:
space-group type	P2_1/m, No. 11
formation energy from raw total energies	-1609	meV per atom

a b c (Å): 8.7012 4.2020 9.1416
angles (deg): 90.00 103.22 90.00
Last column: nearest neighbours and their distance in Å.
Positions (direct):
Li 0.0891 0.2500 0.0873  4 Se 2.53-2.56
Li 0.9109 0.7500 0.9127  4 Se 2.53-2.56
Ac 0.1846 0.2500 0.7278  7 Se 3.14-3.24
Ac 0.8154 0.7500 0.2722  7 Se 3.14-3.24
Pu 0.3353 0.7500 0.3393  6 Se 2.93-3.02
Pu 0.6647 0.2500 0.6607  6 Se 2.93-3.02
Se 0.1012 0.2500 0.3669  1 Li 2.53
Se 0.2117 0.7500 0.0025  3 Li 2.56
Se 0.4323 0.7500 0.6710  3 Pu 2.93-2.96, 2 Ac 3.14
Se 0.5677 0.2500 0.3290  3 Pu 2.93-2.96, 2 Ac 3.14
Se 0.7883 0.2500 0.9975  3 Li 2.56
Se 0.8988 0.7500 0.6331  1 Li 2.53